## P
KCoHg2: optimized geometry, GGA-PBE.

abc: 10.6324 10.6324 10.6324
angles: 17.62 17.62 17.62
Fractional coordinates of all 4 atoms:
K: 0.0000 0.0000 0.0000
Co: 0.7530 0.7530 0.7530
Hg: 0.2392 0.2392 0.2392
Hg: 0.4827 0.4827 0.4827

Computed properties:
The calculation puts the spin magnetization at 1.5 μB/f.u.

## Q
KCoHg2: optimized geometry, GGA-PBE.

abc: 5.1689 5.1689 5.1689
angles: 60.00 60.00 60.00
Fractional coordinates of all 4 atoms:
K: 0.0000 0.0000 0.0000
Co: 0.5000 0.5000 0.5000
Hg: 0.2500 0.2500 0.2500
Hg: 0.7500 0.7500 0.7500

Computed properties:
The calculation puts the spin magnetization at 1.6 μB/f.u.

Going by the computed energies, the most stable comes first: Q, P.